## ScBPO2 (PBE)

Data for an optimized crystal structure of ScBPO2.

Results
Energy above the lowest structure with this stoichiometry: 0.540 eV/atom
Electronic total energy: -5.760 eV per atom
E_form (uncorrected): -45 kJ/mol of formula units
Calculated volume: 85.83 Å³/cell

abc: 3.863 3.863 5.750
angles: 90.00 90.00 90.00
Fractional positions:
1 Sc 0.000 0.000 0.000
2 P 0.000 0.000 0.500
3 B 0.500 0.500 0.500
4 O 0.000 0.500 0.000
5 O 0.500 0.000 0.000